[1]
Material: Ni2Ag2SbO6
Method: DFT, PBE+U
State: optimized geometry

Calculated values
Mass density (g/cm³): 6.1
Calculated total energy (eV per atom): -4.933

```
data_Ni2Ag2SbO6
_space_group_name_H-M_alt 'C 1 2/m 1'
_space_group_IT_number 12
_cell_length_a 5.301
_cell_length_b 9.215
_cell_length_c 6.202
_cell_angle_alpha 90.00
_cell_angle_beta 95.44
_cell_angle_gamma 90.00
loop_
_space_group_symop_operation_xyz
'x,y,z'
'-x,-y,-z'
'-x,y,-z'
'x,-y,z'
'x+1/2,y+1/2,z'
'-x+1/2,-y+1/2,-z'
'-x+1/2,y+1/2,-z'
'x+1/2,-y+1/2,z'
loop_
_atom_site_label
_atom_site_type_symbol
_atom_site_fract_x
_atom_site_fract_y
_atom_site_fract_z
_atom_site_occupancy
Ni1 Ni 0.000 0.163 0.000 1
Ag1 Ag 0.000 0.336 0.500 1
Sb1 Sb 0.000 0.500 0.000 1
O1 O 0.140 0.335 0.828 1
O2 O 0.161 0.000 0.834 1
```

---

[2]
Material: NiAgSeO2
Method: DFT, PBE+U
State: optimized geometry

Calculated values
Mass density (g/cm³): 5.7
Calculated total energy (eV per atom): -3.022

```
data_NiAgSeO2
_space_group_name_H-M_alt 'P 4/m m m'
_space_group_IT_number 123
_space_group_name_Hall '-P 4 2'
_cell_length_a 3.870
_cell_length_b 3.870
_cell_length_c 5.372
_cell_angle_alpha 90.00
_cell_angle_beta 90.00
_cell_angle_gamma 90.00
loop_
_atom_site_label
_atom_site_type_symbol
_atom_site_fract_x
_atom_site_fract_y
_atom_site_fract_z
_atom_site_occupancy
Ni1 Ni 0.000 0.000 0.000 1
Ag1 Ag 0.000 0.000 0.500 1
Se1 Se 0.500 0.500 0.000 1
O1 O 0.000 0.500 0.500 1
```

---

[3]
Material: NiAgSe2O6
Method: DFT, PBE+U
State: optimized geometry

Calculated values
Mass density (g/cm³): 5.2
Calculated total energy (eV per atom): -4.825

```
data_NiAgSe2O6
_space_group_name_H-M_alt 'R -3'
_space_group_IT_number 148
_space_group_name_Hall '-R 3'
_cell_length_a 5.2549
_cell_length_b 5.2549
_cell_length_c 16.9449
_cell_angle_alpha 90.00
_cell_angle_beta 90.00
_cell_angle_gamma 120.00
loop_
_atom_site_label
_atom_site_type_symbol
_atom_site_fract_x
_atom_site_fract_y
_atom_site_fract_z
_atom_site_occupancy
Ni1 Ni 0.0000 0.0000 0.0000 1
Ag1 Ag 0.0000 0.0000 0.5000 1
Se1 Se 0.0000 0.0000 0.2277 1
O1 O 0.0113 0.3767 0.4030 1
```